[1]
Below is a geometry-optimized NaTi2CuAs structure, with properties calculated at the PBE-GGA level.

```
5
Lattice="4.849 0.000 0.000 0.000 4.849 0.000 0.000 0.000 4.567" Properties=species:S:1:pos:R:3 pbc="T T T"
Na 0.000 0.000 0.000
Ti 0.000 2.425 2.284
Ti 2.425 0.000 2.284
Cu 2.425 2.425 0.000
As 2.425 2.425 2.284
```

## Properties
ΔE_f, meV per atom: 364
Density of states at the Fermi level, states/eV/atom: 0.549
ρ, g cm⁻³: 3.98

***

[2]
Below is a geometry-optimized Rb4HfPa3N8 structure, with properties calculated at the PBE-GGA level.

```
16
Lattice="3.544 2.046 6.752 -3.544 2.046 6.752 0.000 -4.092 6.752" Properties=species:S:1:pos:R:3 pbc="T T T"
Rb 0.000 0.000 0.000
Rb -1.772 -1.023 6.752
Rb -1.772 1.023 13.505
Rb 0.000 2.046 6.752
Hf 0.000 0.000 10.129
Pa -3.544 0.000 10.129
Pa -1.772 1.023 3.376
Pa 1.772 1.023 3.376
N 0.000 0.000 4.424
N -1.746 -1.008 11.174
N 0.000 -2.016 9.083
N -1.746 1.008 9.083
N 1.746 -1.008 11.174
N 0.000 2.016 11.174
N 1.746 1.008 9.083
N 0.000 0.000 15.833
```

## Properties
Formation energy (no corrections), eV/atom: -1.023
Density of states at the Fermi level, states/eV/atom: 0.689
ρ, g cm⁻³: 7.49

***

[3]
Below is a geometry-optimized NdPu2CrN4 structure, with properties calculated at the PBE-GGA level.

```
16
Lattice="1.707 -5.770 0.000 1.707 5.770 0.000 0.000 0.000 11.583" Properties=species:S:1:pos:R:3 pbc="T T T"
Nd 1.707 4.650 8.687
Nd 1.707 -4.650 2.896
Pu 1.707 1.526 6.348
Pu 1.707 1.526 11.027
Pu 1.707 -1.526 0.557
Pu 1.707 -1.526 5.235
Cr 1.707 3.890 2.896
Cr 1.707 -3.890 8.687
N 0.000 0.000 0.000
N 0.000 0.000 5.792
N 1.707 2.743 1.432
N 1.707 2.743 4.359
N 1.707 0.804 8.687
N 1.707 -0.804 2.896
N 1.707 -2.743 7.224
N 1.707 -2.743 10.151
```

## Properties
Formation energy (no corrections), eV/atom: -1.058
Density of states at the Fermi level, states/eV/atom: 1.414
ρ, g cm⁻³: 10.77

***

[4]
Below is a geometry-optimized Ce3TmSn2 structure, with properties calculated at the PBE-GGA level.

```
12
Lattice="-3.233 8.704 3.202 3.233 -8.704 3.202 3.233 8.704 -3.202" Properties=species:S:1:pos:R:3 pbc="T T T"
Ce 1.574 3.092 0.000
Ce 0.000 0.000 1.601
Ce 1.574 -3.092 3.202
Ce 1.659 11.797 0.000
Ce 0.000 0.000 4.804
Ce 1.659 5.612 3.202
Tm 3.233 0.000 1.601
Tm 0.000 8.704 1.601
Sn 4.793 2.336 0.000
Sn 1.559 6.368 0.000
Sn 1.674 2.336 3.202
Sn -1.559 6.368 3.202
```

## Properties
ΔE_f, meV per atom: -434
Density of states at the Fermi level, states/eV/atom: 3.202
ρ, g cm⁻³: 7.62

***

[5]
Below is a geometry-optimized RbBrN3 structure, with properties calculated at the PBE-GGA level.

```
5
Lattice="5.323 0.000 0.000 0.000 5.323 0.000 0.000 0.000 5.323" Properties=species:S:1:pos:R:3 pbc="T T T"
Rb 0.000 0.000 0.000
Br 2.661 2.661 2.661
N 0.000 0.000 2.661
N 0.000 2.661 0.000
N 2.661 0.000 0.000
```

## Properties
Formation energy (no corrections), eV/atom: 2.697
Density of states at the Fermi level, states/eV/atom: 0.000
ρ, g cm⁻³: 2.28

***

[6]
Below is a geometry-optimized YBPt3 structure, with properties calculated at the PBE-GGA level.

```
10
Lattice="5.308 0.000 0.000 0.000 5.629 0.000 -0.616 0.000 5.395" Properties=species:S:1:pos:R:3 pbc="T T T"
Y 0.631 1.407 1.064
Y 4.061 4.222 4.330
B 1.947 4.222 0.212
B 2.744 1.407 5.183
Pt 0.515 4.222 1.730
Pt 1.447 0.033 4.006
Pt 1.447 2.782 4.006
Pt 3.244 2.847 1.388
Pt 3.244 5.597 1.388
Pt 4.177 1.407 3.665
```

## Properties
Relative energy among the computed polymorphs, meV/atom: 0
ΔE_f, meV per atom: -861
Density of states at the Fermi level, states/eV/atom: 0.314
ρ, g cm⁻³: 14.11

***

[7]
Below is a geometry-optimized NbTcNi structure, with properties calculated at the PBE-GGA level.

```
6
Lattice="4.300 -1.975 0.000 4.300 1.975 0.000 -1.598 0.000 5.141" Properties=species:S:1:pos:R:3 pbc="T T T"
Nb 0.000 0.000 0.000
Nb 5.412 0.000 1.826
Tc -0.635 0.000 2.642
Tc 1.899 0.000 3.474
Ni 2.693 0.000 0.870
Ni 4.476 0.000 4.385
```

## Properties
Relative energy among the computed polymorphs, meV/atom: 22
ΔE_f, meV per atom: -130
Density of states at the Fermi level, states/eV/atom: 0.689
ρ, g cm⁻³: 9.49

***

[8]
Below is a geometry-optimized U2Ge5Rh3 structure, with properties calculated at the PBE-GGA level.

```
20
Lattice="2.164 -12.345 0.000 2.164 12.345 0.000 0.000 0.000 6.660" Properties=species:S:1:pos:R:3 pbc="T T T"
U 2.164 11.841 3.330
U 2.164 4.211 3.462
U 2.164 -4.211 0.132
U 2.164 -11.841 0.000
Ge 2.164 9.871 5.696
Ge 2.164 7.223 2.094
Ge 2.164 7.183 4.922
Ge 2.164 2.970 6.550
Ge 2.164 1.211 4.436
Ge 2.164 -1.211 1.106
Ge 2.164 -2.970 3.220
Ge 2.164 -7.183 1.592
Ge 2.164 -7.223 5.424
Ge 2.164 -9.871 2.366
Rh 2.164 9.771 1.625
Rh 2.164 5.459 0.197
Rh 2.164 1.319 1.843
Rh 2.164 -1.319 5.173
Rh 2.164 -5.459 3.527
Rh 2.164 -9.771 4.955
```

## Properties
ΔE_f, meV per atom: -496
Density of states at the Fermi level, states/eV/atom: 1.342
ρ, g cm⁻³: 10.72